[1]
# PrNd4Au4 | the Alexandria database | PBE | optimized geometry
# total magnetic moment	0.0	μB per cell
# VASP energy	-83.94	eV/cell
# ΔH_f (0 K)	-0.556	eV per atom
data_PrNd4Au4
_chemical_formula_sum 'Pr2 Nd8 Au8'
_symmetry_space_group_name_H-M 'P 42/n'
_symmetry_Int_Tables_number 86
_cell_length_a 9.417
_cell_length_b 9.417
_cell_length_c 6.192
_cell_angle_alpha 90.00
_cell_angle_beta 90.00
_cell_angle_gamma 90.00
loop_
_symmetry_equiv_pos_as_xyz
'x,y,z'
'-x,-y,-z'
'-y,x+1/2,z+1/2'
'y,-x+1/2,-z+1/2'
'-x+1/2,-y+1/2,z'
'x+1/2,y+1/2,-z'
'y+1/2,-x,z+1/2'
'-y+1/2,x,-z+1/2'
loop_
_atom_site_label
_atom_site_fract_x
_atom_site_fract_y
_atom_site_fract_z
Pr1 0.250 0.250 0.250
Nd1 0.062 0.657 0.161
Au1 0.035 0.630 0.651

=====

[2]
# PrNd2Au3 | the Alexandria database | PBE | optimized geometry
# total magnetic moment	0.0	μB per cell
# VASP energy	-108.90	eV/cell
# ΔE to the lowest computed polymorph	244	meV/atom
# ΔH_f (0 K)	-0.513	eV per atom
data_PrNd2Au3
_chemical_formula_sum 'Pr4 Nd8 Au12'
_symmetry_space_group_name_H-M 'I m m a'
_symmetry_Int_Tables_number 74
_symmetry_space_group_name_Hall '-I 2b 2'
_cell_length_a 7.640
_cell_length_b 10.898
_cell_length_c 9.342
_cell_angle_alpha 90.00
_cell_angle_beta 90.00
_cell_angle_gamma 90.00
loop_
_atom_site_label
_atom_site_fract_x
_atom_site_fract_y
_atom_site_fract_z
Pr1 0.000 0.250 0.023
Nd1 0.000 0.037 0.705
Au1 0.195 0.000 0.000
Au2 0.250 0.250 0.750

=====

[3]
# Pr2NdAu | the Alexandria database | PBE | optimized geometry
# total magnetic moment	0.0	μB per cell
# VASP energy	-55.66	eV/cell
# ΔE to the lowest computed polymorph	148	meV/atom
# ΔH_f (0 K)	-0.237	eV per atom
data_Pr2NdAu
_chemical_formula_sum 'Pr6 Nd3 Au3'
_symmetry_space_group_name_H-M 'R 3 m'
_symmetry_Int_Tables_number 160
_symmetry_space_group_name_Hall 'R 3 -2"'
_cell_length_a 3.8689
_cell_length_b 3.8689
_cell_length_c 30.6923
_cell_angle_alpha 90.00
_cell_angle_beta 90.00
_cell_angle_gamma 120.00
loop_
_atom_site_label
_atom_site_fract_x
_atom_site_fract_y
_atom_site_fract_z
Pr1 0.0000 0.0000 0.0000
Pr2 0.0000 0.0000 0.1940
Nd1 0.0000 0.0000 0.7641
Au1 0.0000 0.0000 0.5970

=====

[4]
# PrNd3Au7 | the Alexandria database | PBE | optimized geometry
# total magnetic moment	0.0	μB per cell
# VASP energy	-198.89	eV/cell
# ΔH_f (0 K)	-0.700	eV per atom
data_PrNd3Au7
_chemical_formula_sum 'Pr4 Nd12 Au28'
_symmetry_space_group_name_H-M 'C m c m'
_symmetry_Int_Tables_number 63
_symmetry_space_group_name_Hall '-C 2c 2'
_cell_length_a 3.871
_cell_length_b 22.925
_cell_length_c 12.695
_cell_angle_alpha 90.00
_cell_angle_beta 90.00
_cell_angle_gamma 90.00
loop_
_atom_site_label
_atom_site_fract_x
_atom_site_fract_y
_atom_site_fract_z
Pr1 0.000 0.004 0.250
Nd1 0.000 0.144 0.561
Nd2 0.000 0.186 0.250
Au1 0.000 0.278 0.569
Au2 0.000 0.382 0.250
Au3 0.000 0.402 0.634
Au4 0.000 0.460 0.074

=====

[5]
# Pr2Nd2Au | the Alexandria database | PBE | optimized geometry
# total magnetic moment	0.0	μB per cell
# VASP energy	-93.35	eV/cell
# ΔH_f (0 K)	-0.193	eV per atom
data_Pr2Nd2Au
_chemical_formula_sum 'Pr8 Nd8 Au4'
_symmetry_space_group_name_H-M 'C 1 2/m 1'
_symmetry_Int_Tables_number 12
_cell_length_a 7.749
_cell_length_b 11.457
_cell_length_c 8.265
_cell_angle_alpha 90.00
_cell_angle_beta 115.41
_cell_angle_gamma 90.00
loop_
_symmetry_equiv_pos_as_xyz
'x,y,z'
'-x,-y,-z'
'-x,y,-z'
'x,-y,z'
'x+1/2,y+1/2,z'
'-x+1/2,-y+1/2,-z'
'-x+1/2,y+1/2,-z'
'x+1/2,-y+1/2,z'
loop_
_atom_site_label
_atom_site_fract_x
_atom_site_fract_y
_atom_site_fract_z
Pr1 0.213 0.000 0.421
Pr2 0.236 0.500 0.123
Nd1 0.073 0.288 0.742
Au1 0.000 0.135 0.000

=====

[6]
# Pr2Nd3Au2 | the Alexandria database | PBE | optimized geometry
# total magnetic moment	0.0	μB per cell
# VASP energy	-67.19	eV/cell
# ΔH_f (0 K)	-0.454	eV per atom
data_Pr2Nd3Au2
_chemical_formula_sum 'Pr4 Nd6 Au4'
_symmetry_space_group_name_H-M 'C 1 2/m 1'
_symmetry_Int_Tables_number 12
_cell_length_a 12.987
_cell_length_b 3.906
_cell_length_c 9.475
_cell_angle_alpha 90.00
_cell_angle_beta 115.62
_cell_angle_gamma 90.00
loop_
_symmetry_equiv_pos_as_xyz
'x,y,z'
'-x,-y,-z'
'-x,y,-z'
'x,-y,z'
'x+1/2,y+1/2,z'
'-x+1/2,-y+1/2,-z'
'-x+1/2,y+1/2,-z'
'x+1/2,-y+1/2,z'
loop_
_atom_site_label
_atom_site_fract_x
_atom_site_fract_y
_atom_site_fract_z
Pr1 0.154 0.000 0.314
Nd1 0.000 0.500 0.500
Nd2 0.114 0.500 0.946
Au1 0.166 0.000 0.730

=====

[7]
# PrNd4Au5 | the Alexandria database | PBE | optimized geometry
# total magnetic moment	0.0	μB per cell
# VASP energy	-47.85	eV/cell
# ΔH_f (0 K)	-0.761	eV per atom
data_PrNd4Au5
_chemical_formula_sum 'Pr1 Nd4 Au5'
_symmetry_space_group_name_H-M 'P 4/m m m'
_symmetry_Int_Tables_number 123
_symmetry_space_group_name_Hall '-P 4 2'
_cell_length_a 3.701
_cell_length_b 3.701
_cell_length_c 18.840
_cell_angle_alpha 90.00
_cell_angle_beta 90.00
_cell_angle_gamma 90.00
loop_
_atom_site_label
_atom_site_fract_x
_atom_site_fract_y
_atom_site_fract_z
Pr1 0.000 0.000 0.000
Nd1 0.000 0.000 0.201
Nd2 0.000 0.000 0.400
Au1 0.500 0.500 0.102
Au2 0.500 0.500 0.301
Au3 0.500 0.500 0.500

=====

[8]
# Pr2NdAu3 | the Alexandria database | PBE | optimized geometry
# total magnetic moment	0.0	μB per cell
# VASP energy	-108.75	eV/cell
# ΔE to the lowest computed polymorph	246	meV/atom
# ΔH_f (0 K)	-0.505	eV per atom
data_Pr2NdAu3
_chemical_formula_sum 'Pr8 Nd4 Au12'
_symmetry_space_group_name_H-M 'I m m a'
_symmetry_Int_Tables_number 74
_symmetry_space_group_name_Hall '-I 2b 2'
_cell_length_a 7.617
_cell_length_b 10.679
_cell_length_c 9.620
_cell_angle_alpha 90.00
_cell_angle_beta 90.00
_cell_angle_gamma 90.00
loop_
_atom_site_label
_atom_site_fract_x
_atom_site_fract_y
_atom_site_fract_z
Pr1 0.000 0.027 0.205
Nd1 0.000 0.250 0.510
Au1 0.196 0.000 0.500
Au2 0.250 0.250 0.250

=====

[9]
# Pr4Nd3Au4 | the Alexandria database | PBE | optimized geometry
# total magnetic moment	0.0	μB per cell
# VASP energy	-104.03	eV/cell
# ΔH_f (0 K)	-0.499	eV per atom
data_Pr4Nd3Au4
_chemical_formula_sum 'Pr8 Nd6 Au8'
_symmetry_space_group_name_H-M 'I m m m'
_symmetry_Int_Tables_number 71
_symmetry_space_group_name_Hall '-I 2 2'
_cell_length_a 3.904
_cell_length_b 9.408
_cell_length_c 17.726
_cell_angle_alpha 90.00
_cell_angle_beta 90.00
_cell_angle_gamma 90.00
loop_
_atom_site_label
_atom_site_fract_x
_atom_site_fract_y
_atom_site_fract_z
Pr1 0.000 0.189 0.162
Nd1 0.000 0.000 0.397
Nd2 0.000 0.500 0.500
Au1 0.000 0.317 0.000
Au2 0.000 0.500 0.245

=====

[10]
# PrNdAu | the Alexandria database | PBE | optimized geometry
# total magnetic moment	1.3	μB per cell
# VASP energy	-28.49	eV/cell
# ΔE to the lowest computed polymorph	29	meV/atom
# ΔH_f (0 K)	-0.473	eV per atom
data_PrNdAu
_chemical_formula_sum 'Pr2 Nd2 Au2'
_symmetry_space_group_name_H-M 'I 4 m m'
_symmetry_Int_Tables_number 107
_symmetry_space_group_name_Hall 'I 4 -2'
_cell_length_a 3.751
_cell_length_b 3.751
_cell_length_c 12.655
_cell_angle_alpha 90.00
_cell_angle_beta 90.00
_cell_angle_gamma 90.00
loop_
_atom_site_label
_atom_site_fract_x
_atom_site_fract_y
_atom_site_fract_z
Pr1 0.000 0.000 0.000
Nd1 0.000 0.000 0.288
Au1 0.000 0.000 0.648

=====

[11]
# Pr2NdAu8 | the Alexandria database | PBE | optimized geometry
# total magnetic moment	0.0	μB per cell
# VASP energy	-95.90	eV/cell
# ΔH_f (0 K)	-0.673	eV per atom
data_Pr2NdAu8
_chemical_formula_sum 'Pr4 Nd2 Au16'
_symmetry_space_group_name_H-M 'C 1 2/m 1'
_symmetry_Int_Tables_number 12
_cell_length_a 8.085
_cell_length_b 15.430
_cell_length_c 5.272
_cell_angle_alpha 90.00
_cell_angle_beta 130.32
_cell_angle_gamma 90.00
loop_
_symmetry_equiv_pos_as_xyz
'x,y,z'
'-x,-y,-z'
'-x,y,-z'
'x,-y,z'
'x+1/2,y+1/2,z'
'-x+1/2,-y+1/2,-z'
'-x+1/2,y+1/2,-z'
'x+1/2,-y+1/2,z'
loop_
_atom_site_label
_atom_site_fract_x
_atom_site_fract_y
_atom_site_fract_z
Pr1 0.000 0.186 0.000
Nd1 0.000 0.500 0.500
Au1 0.000 0.300 0.500
Au2 0.001 0.000 0.752
Au3 0.226 0.370 0.229

=====

- Which value of ΔH_f (0 K) does entry 4 give?
  -0.700 eV per atom

=====

- Which of these has the highest total magnetic moment?
  PrNdAu

=====

- Number 7 is which compound?
  PrNd4Au5